# 1
Density functional theory data (GGA-PBEsol) for PrHg after structural relaxation.

a = 3.7889 Å, b = 3.7889 Å, c = 3.7889 Å
α = 90.00°, β = 90.00°, γ = 90.00°
With the nearest neighbours (Å) after each atom.
Space group Pm-3m (No. 221)
Asymmetric unit:
Pr 0.0000 0.0000 0.0000 [1 per cell]  8 Hg 3.28
Hg 0.5000 0.5000 0.5000 [1 per cell]  8 Pr 3.28

Results
Formation energy in eV per formula unit: -1.1
Density in Mg/m³: 10.4
D(E_F) in states/eV per cell: 2.3
Size of the total moment in μB/f.u.: 0.364

***

# 2
Density functional theory data (GGA-PBEsol) for NaHfSbTe2 after structural relaxation.

a = 5.2923 Å, b = 5.2923 Å, c = 5.0540 Å
α = 90.00°, β = 90.00°, γ = 90.00°
With the nearest neighbours (Å) after each atom.
Space group P4/mmm (No. 123)
Asymmetric unit:
Na 0.0000 0.0000 0.0000 [1 per cell]  2 Sb 2.53, 4 Te 2.65
Hf 0.5000 0.5000 0.5000 [1 per cell]  8 Te 3.66, 4 Sb 3.74
Sb 0.0000 0.0000 0.5000 [1 per cell]  2 Na 2.53
Te 0.0000 0.5000 0.0000 [2 per cell]  2 Na 2.65

Results
Uncorrected formation energy in eV/atom: 0.869
Density in Mg/m³: 6.8
D(E_F) in states/eV per cell: 5.3
Size of the total moment in μB/f.u.: 0.000

***

# 3
Density functional theory data (GGA-PBEsol) for YAlAg after structural relaxation.

a = 6.7260 Å, b = 6.7260 Å, c = 6.7260 Å
α = 90.00°, β = 90.00°, γ = 90.00°
With the nearest neighbours (Å) after each atom.
Space group F-43m (No. 216)
Asymmetric unit:
Y 0.0000 0.0000 0.0000 [4 per cell]  4 Al 2.91, 4 Ag 2.91
Al 0.2500 0.2500 0.2500 [4 per cell]  4 Y 2.91
Ag 0.2500 0.2500 0.7500 [4 per cell]  4 Y 2.91

Results
Formation energy in eV per formula unit: 1.0
Density in Mg/m³: 4.9
D(E_F) in states/eV per cell: 11.8
Size of the total moment in μB/f.u.: 0.001

***

# 4
Density functional theory data (GGA-PBEsol) for Rb3RhAu after structural relaxation.

a = 6.2328 Å, b = 6.2328 Å, c = 6.2328 Å
α = 90.00°, β = 90.00°, γ = 90.00°
With the nearest neighbours (Å) after each atom.
Space group Pm-3m (No. 221)
Asymmetric unit:
Rb 0.0000 0.0000 0.5000 [3 per cell]  2 Au 3.12
Rh 0.5000 0.5000 0.5000 [1 per cell]  12 Rb 4.41
Au 0.0000 0.0000 0.0000 [1 per cell]  6 Rb 3.12

Results
Formation energy in eV per formula unit: 3.9
Density in Mg/m³: 3.8
D(E_F) in states/eV per cell: 8.7
Size of the total moment in μB/f.u.: 0.995

***

# 5
Density functional theory data (GGA-PBEsol) for Br2Cl after structural relaxation.

a = 6.1030 Å, b = 6.1030 Å, c = 2.4966 Å
α = 90.00°, β = 90.00°, γ = 120.00°
With the nearest neighbours (Å) after each atom.
Space group P-3m1 (No. 164)
Asymmetric unit:
Br 0.3333 0.6667 0.0084 [2 per cell]  2 Br 2.50
Cl 0.0000 0.0000 0.5000 [1 per cell]  2 Cl 2.50

Results
Uncorrected formation energy in eV/atom: 0.168
Density in Mg/m³: 4.0
D(E_F) in states/eV per cell: 1.7
Size of the total moment in μB/f.u.: 0.000
Polymorph energy (0 for the lowest one) in meV/atom: 96

***

# 6
Density functional theory data (GGA-PBEsol) for TeRu2W after structural relaxation.

a = 2.9453 Å, b = 2.9453 Å, c = 25.5407 Å
α = 90.00°, β = 90.00°, γ = 120.00°
With the nearest neighbours (Å) after each atom.
Space group R-3m (No. 166, hexagonal axes)
Asymmetric unit:
Te 0.0000 0.0000 0.0000 [3 per cell]  6 Ru 2.77, 6 Te 2.95
Ru 0.0000 0.0000 0.2479 [6 per cell]  3 W 2.68, 3 Te 2.77, 6 Ru 2.95
W 0.0000 0.0000 0.5000 [3 per cell]  6 Ru 2.68, 6 W 2.95

Results
Uncorrected formation energy in eV/atom: 0.386
Density in Mg/m³: 13.3
D(E_F) in states/eV per cell: 10.3
Size of the total moment in μB/f.u.: 0.001

***

# 7
Density functional theory data (GGA-PBEsol) for SiMoCl2 after structural relaxation.

a = 4.0853 Å, b = 4.0853 Å, c = 4.1121 Å
α = 90.00°, β = 90.00°, γ = 90.00°
With the nearest neighbours (Å) after each atom.
Space group P4/mmm (No. 123)
Asymmetric unit:
Si 0.0000 0.0000 0.0000 [1 per cell]  4 Mo 2.89, 8 Cl 2.90
Mo 0.5000 0.5000 0.0000 [1 per cell]  4 Si 2.89, 8 Cl 2.90
Cl 0.0000 0.5000 0.5000 [2 per cell]  4 Cl 2.89, 4 Mo 2.90, 4 Si 2.90

Results
Uncorrected formation energy in eV/atom: 0.741
Density in Mg/m³: 4.7
D(E_F) in states/eV per cell: 2.2
Size of the total moment in μB/f.u.: 2.349
Polymorph energy (0 for the lowest one) in meV/atom: 947

***

# 8
Density functional theory data (GGA-PBEsol) for PtAuSe2 after structural relaxation.

a = 3.1833 Å, b = 4.6683 Å, c = 9.6955 Å
α = 90.00°, β = 90.00°, γ = 90.00°
With the nearest neighbours (Å) after each atom.
Space group Cmmm (No. 65)
Asymmetric unit:
Pt 0.0000 0.0000 0.0000 [2 per cell]  4 Se 2.64, 4 Pt 2.83
Au 0.0000 0.0000 0.5000 [2 per cell]  4 Au 2.83
Se 0.0000 0.5000 0.2167 [4 per cell]  2 Pt 2.64, 4 Se 2.83

Results
Uncorrected formation energy in eV/atom: 0.303
Density in Mg/m³: 12.7
D(E_F) in states/eV per cell: 5.1
Size of the total moment in μB/f.u.: 0.001

***

# 9
Density functional theory data (GGA-PBEsol) for TlSn2Hg after structural relaxation.

a = 4.3512 Å, b = 4.3512 Å, c = 22.6620 Å
α = 90.00°, β = 90.00°, γ = 90.00°
With the nearest neighbours (Å) after each atom.
Space group I-42d (No. 122)
Asymmetric unit:
Tl 0.0000 0.0000 0.0000 [4 per cell]  4 Hg 3.08, 4 Sn 3.23
Sn 0.2442 0.2500 0.6250 [8 per cell]  4 Sn 3.04-3.11, 2 Hg 3.22, 2 Tl 3.23
Hg 0.0000 0.0000 0.5000 [4 per cell]  4 Tl 3.08, 4 Sn 3.22

Results
Formation energy in eV per formula unit: 0.2
Density in Mg/m³: 9.9
D(E_F) in states/eV per cell: 7.7
Size of the total moment in μB/f.u.: 0.000
Polymorph energy (0 for the lowest one) in meV/atom: 0

***

# 10
Density functional theory data (GGA-PBEsol) for MnIn2Te4 after structural relaxation.

a = 6.1291 Å, b = 6.1291 Å, c = 12.3125 Å
α = 90.00°, β = 90.00°, γ = 90.00°
With the nearest neighbours (Å) after each atom.
Space group I-4 (No. 82)
Asymmetric unit:
Mn 0.0000 0.0000 0.0000 [2 per cell]  4 Te 2.69
In 0.0000 0.0000 0.5000 [2 per cell]  4 Te 2.81
In 0.0000 0.5000 0.2500 [2 per cell]  4 Te 2.81
Te 0.2108 0.2718 0.8648 [8 per cell]  1 Mn 2.69, 2 In 2.81

Results
Uncorrected formation energy in eV/atom: -0.175
Density in Mg/m³: 5.7
D(E_F) in states/eV per cell: 0.4
Size of the total moment in μB/f.u.: 5.002

***

# 11
Density functional theory data (GGA-PBEsol) for BaRuO3 after structural relaxation.

a = 5.6981 Å, b = 5.6981 Å, c = 5.0439 Å
α = 90.00°, β = 90.00°, γ = 120.00°
With the nearest neighbours (Å) after each atom.
Space group P6_3/mmc (No. 194)
Asymmetric unit:
Ba 0.3333 0.6667 0.2500 [2 per cell]  12 O 2.85-3.07
Ru 0.0000 0.0000 0.0000 [2 per cell]  6 O 1.99
O 0.1562 0.3124 0.7500 [6 per cell]  2 Ru 1.99

Results
Uncorrected formation energy in eV/atom: -1.819
Density in Mg/m³: 6.7
D(E_F) in states/eV per cell: 7.4
Size of the total moment in μB/f.u.: 0.184

***

# 12
Density functional theory data (GGA-PBEsol) for MnTe2PCl after structural relaxation.

a = 5.2439 Å, b = 5.2439 Å, c = 4.5705 Å
α = 90.00°, β = 90.00°, γ = 90.00°
With the nearest neighbours (Å) after each atom.
Space group P4/mmm (No. 123)
Asymmetric unit:
Mn 0.0000 0.0000 0.0000 [1 per cell]  2 P 2.29
Te 0.0000 0.5000 0.5000 [2 per cell]  2 P 2.62
P 0.0000 0.0000 0.5000 [1 per cell]  2 Mn 2.29
Cl 0.5000 0.5000 0.0000 [1 per cell]  8 Te 3.48, 4 Mn 3.71

Results
Uncorrected formation energy in eV/atom: 0.443
Density in Mg/m³: 5.0
D(E_F) in states/eV per cell: 3.4
Size of the total moment in μB/f.u.: 4.138

***

# 13
Density functional theory data (GGA-PBEsol) for CsGa3Os after structural relaxation.

a = 4.8960 Å, b = 4.8960 Å, c = 4.8960 Å
α = 90.00°, β = 90.00°, γ = 90.00°
With the nearest neighbours (Å) after each atom.
Space group Pm-3m (No. 221)
Asymmetric unit:
Cs 0.0000 0.0000 0.0000 [1 per cell]  12 Ga 3.46
Ga 0.0000 0.5000 0.5000 [3 per cell]  2 Os 2.45
Os 0.5000 0.5000 0.5000 [1 per cell]  6 Ga 2.45

Results
Formation energy in eV per formula unit: -0.9
Density in Mg/m³: 7.5
D(E_F) in states/eV per cell: 0.7
Size of the total moment in μB/f.u.: 0.000

***

# 14
Density functional theory data (GGA-PBEsol) for ZrAgSb2 after structural relaxation.

a = 4.0461 Å, b = 5.1234 Å, c = 8.6112 Å
α = 90.00°, β = 90.00°, γ = 90.00°
With the nearest neighbours (Å) after each atom.
Space group Cmmm (No. 65)
Asymmetric unit:
Zr 0.0000 0.0000 0.0000 [2 per cell]  4 Sb 2.93, 4 Zr 3.26
Ag 0.0000 0.0000 0.5000 [2 per cell]  4 Sb 2.98, 4 Ag 3.26
Sb 0.0000 0.5000 0.2456 [4 per cell]  2 Zr 2.93, 2 Ag 2.98, 4 Sb 3.26

Results
Uncorrected formation energy in eV/atom: -0.155
Density in Mg/m³: 8.2
D(E_F) in states/eV per cell: 3.3
Size of the total moment in μB/f.u.: 0.000